# 1
A relaxed CePm2NdS4 crystal. Source: the Alexandria database, functional GGA-PBE.

## Properties
As for the calculated total energy: -6.63 eV/atom. As for the density of states at the Fermi level: 0.98 states/eV per atom. The crystal system is monoclinic. Its total moment is 0.097 μB per atom.

a = 4.030 Å, b = 7.002 Å, c = 7.007 Å
α = 109.37°, β = 90.00°, γ = 90.00°
Element x y z (fractional)
Pm1 0.500 0.000 0.500
Pm2 0.000 0.500 0.500
S1 0.500 0.252 0.252
S2 0.500 0.748 0.748
S3 0.000 0.251 0.749
S4 0.000 0.749 0.251
Ce1 0.500 0.500 0.000
Nd1 0.000 0.000 0.000

---

# 2
A relaxed CePmNd2S4 crystal. Source: the Alexandria database, functional GGA-PBE.

## Properties
As for the calculated total energy: -6.63 eV/atom. As for the density of states at the Fermi level: 0.94 states/eV per atom. The crystal system is orthorhombic. Its total moment is 0.083 μB per atom.

a = 8.097 Å, b = 8.097 Å, c = 8.093 Å
α = 119.99°, β = 119.99°, γ = 89.95°
Element x y z (fractional)
S1 0.250 0.746 0.498
S2 0.754 0.250 0.002
S3 0.246 0.750 0.998
S4 0.751 0.749 0.997
S5 0.750 0.254 0.502
S6 0.249 0.251 0.497
S7 0.249 0.251 0.003
S8 0.751 0.749 0.503
Pm1 0.000 0.500 0.500
Pm2 0.000 0.500 0.000
Nd1 0.500 0.000 0.000
Nd2 0.500 0.500 0.000
Nd3 0.000 0.000 0.500
Nd4 0.500 0.000 0.500
Ce1 0.500 0.500 0.500
Ce2 0.000 0.000 0.000

---

# 3
A relaxed Ce3Pm4NdS8 crystal. Source: the Alexandria database, functional GGA-PBE.

## Properties
As for the calculated total energy: -6.70 eV/atom. As for the density of states at the Fermi level: 1.18 states/eV per atom. The crystal system is trigonal. Its total moment is 0.135 μB per atom.

a = 8.069 Å, b = 8.070 Å, c = 8.069 Å
α = 119.99°, β = 120.00°, γ = 90.00°
Element x y z (fractional)
S1 0.250 0.250 0.500
S2 0.252 0.249 0.001
S3 0.251 0.751 0.502
S4 0.749 0.249 0.000
S5 0.748 0.751 0.999
S6 0.749 0.249 0.498
S7 0.251 0.751 0.000
S8 0.750 0.750 0.500
Nd1 0.000 0.500 0.000
Ce1 0.500 0.500 0.500
Ce2 0.500 0.500 0.000
Ce3 0.000 0.500 0.500
Pm1 0.500 0.000 0.000
Pm2 0.000 0.000 0.000
Pm3 0.500 0.000 0.500
Pm4 0.000 0.000 0.500

---

# 4
A relaxed CePm2Nd3S6 crystal. Source: the Alexandria database, functional GGA-PBE.

## Properties
As for the calculated total energy: -6.58 eV/atom. As for the density of states at the Fermi level: 0.76 states/eV per atom. The crystal system is monoclinic. Its total moment is 0.055 μB per atom.

a = 7.014 Å, b = 7.014 Å, c = 7.020 Å
α = 99.62°, β = 99.62°, γ = 120.08°
Element x y z (fractional)
Pm1 0.333 0.667 0.000
Pm2 0.667 0.333 0.000
S1 0.918 0.586 0.754
S2 0.250 0.250 0.752
S3 0.082 0.414 0.246
S4 0.750 0.750 0.248
S5 0.414 0.082 0.246
S6 0.586 0.918 0.754
Nd1 0.831 0.169 0.500
Nd2 0.500 0.500 0.500
Nd3 0.169 0.831 0.500
Ce1 0.000 0.000 0.000

---

# 5
A relaxed Ce2Pm3NdS6 crystal. Source: the Alexandria database, functional GGA-PBE.

## Properties
As for the calculated total energy: -6.68 eV/atom. As for the density of states at the Fermi level: 1.06 states/eV per atom. The crystal system is monoclinic. Its total moment is 0.129 μB per atom.

a = 6.988 Å, b = 6.988 Å, c = 7.004 Å
α = 99.59°, β = 99.59°, γ = 120.06°
Element x y z (fractional)
S1 0.420 0.084 0.252
S2 0.580 0.916 0.748
S3 0.084 0.420 0.252
S4 0.747 0.747 0.249
S5 0.916 0.580 0.748
S6 0.253 0.253 0.751
Ce1 0.334 0.666 0.000
Ce2 0.666 0.334 0.000
Pm1 0.500 0.500 0.500
Pm2 0.164 0.836 0.500
Pm3 0.836 0.164 0.500
Nd1 0.000 0.000 0.000

---

# 6
A relaxed CePm3Nd3S8 crystal. Source: the Alexandria database, functional GGA-PBE.

## Properties
As for the calculated total energy: -6.53 eV/atom. As for the density of states at the Fermi level: 0.84 states/eV per atom. The crystal system is trigonal. Its total moment is 0.102 μB per atom.

a = 8.090 Å, b = 8.090 Å, c = 8.095 Å
α = 119.98°, β = 90.00°, γ = 120.00°
Element x y z (fractional)
S1 0.749 0.498 0.747
S2 0.249 0.998 0.747
S3 0.748 0.998 0.747
S4 0.249 0.499 0.747
S5 0.252 0.002 0.253
S6 0.251 0.502 0.253
S7 0.751 0.501 0.253
S8 0.751 0.002 0.253
Ce1 0.000 0.000 0.500
Pm1 0.500 0.500 0.500
Pm2 0.500 0.000 0.500
Pm3 0.000 0.500 0.500
Nd1 0.000 0.000 0.000
Nd2 0.500 0.500 0.000
Nd3 0.000 0.500 0.000

---

# 7
A relaxed Ce3Pm2NdS6 crystal. Source: the Alexandria database, functional GGA-PBE.

## Properties
As for the calculated total energy: -6.78 eV/atom. As for the density of states at the Fermi level: 1.41 states/eV per atom. The crystal system is monoclinic. Its total moment is 0.212 μB per atom.

a = 6.991 Å, b = 6.991 Å, c = 7.000 Å
α = 99.60°, β = 99.60°, γ = 120.03°
Element x y z (fractional)
S1 0.916 0.581 0.749
S2 0.084 0.419 0.251
S3 0.252 0.252 0.750
S4 0.748 0.748 0.250
S5 0.581 0.916 0.749
S6 0.419 0.084 0.251
Pm1 0.667 0.333 0.000
Pm2 0.333 0.667 0.000
Ce1 0.500 0.500 0.500
Ce2 0.166 0.834 0.500
Ce3 0.834 0.166 0.500
Nd1 0.000 0.000 0.000

---

# 8
A relaxed Ce3PmNd4S8 crystal. Source: the Alexandria database, functional GGA-PBE.

## Properties
As for the calculated total energy: -6.70 eV/atom. As for the density of states at the Fermi level: 1.18 states/eV per atom. The crystal system is trigonal. Its total moment is 0.136 μB per atom.

a = 8.100 Å, b = 8.094 Å, c = 8.100 Å
α = 120.02°, β = 120.00°, γ = 90.00°
Element x y z (fractional)
S1 0.249 0.746 0.498
S2 0.751 0.254 0.502
S3 0.251 0.253 0.502
S4 0.749 0.747 0.498
S5 0.252 0.254 0.003
S6 0.249 0.746 0.997
S7 0.748 0.746 0.997
S8 0.751 0.254 0.003
Nd1 0.000 0.000 0.000
Nd2 0.500 0.000 0.000
Nd3 0.500 0.000 0.500
Nd4 0.000 0.000 0.500
Ce1 0.500 0.500 0.000
Ce2 0.500 0.500 0.500
Ce3 0.000 0.500 0.500
Pm1 0.000 0.500 0.000